The following is a GGA-PBE calculation of a relaxed structure of BaHfMo, from OQMD via LeMat-Bulk.

a b c (Å): 4.8616 4.8616 4.8616
angles (deg): 60.00 60.00 60.00
With the nearest neighbours (Å) after each atom.
Fractional coordinates of all 3 atoms:
Ba 0.2500 0.2500 0.2500  4 Mo 2.98
Hf 0.7500 0.7500 0.7500  4 Mo 2.98
Mo 0.0000 0.0000 0.0000  4 Ba 2.98, 4 Hf 2.98

Calculated values
- Energy above the most stable polymorph in this dataset: 0.00 eV per formula unit
- Total magnetization: 0.00 Bohr magnetons per cell
- Electronic total energy: -19.16 eV per cell